Density functional theory data (GGA-PBE) for a relaxed HgTeW2 crystal.

The structure in CIF format:
```
data_HgTeW2
_chemical_formula_sum 'Hg1 Te1 W2'
_cell_length_a 3.321
_cell_length_b 4.848
_cell_length_c 4.780
_cell_angle_alpha 90.00
_cell_angle_beta 90.00
_cell_angle_gamma 90.00
_symmetry_space_group_name_H-M 'P 1'
_symmetry_Int_Tables_number 1
loop_
_symmetry_equiv_pos_as_xyz
'x,y,z'
loop_
_atom_site_label
_atom_site_fract_x
_atom_site_fract_y
_atom_site_fract_z
W1 0.500 0.500 0.000
W2 0.000 0.000 0.000
Hg1 0.500 0.000 0.500
Te1 0.000 0.500 0.500
```

Output
crystal system: orthorhombic
offset from the most stable computed form: 648 meV per atom
calculated volume: 19.2 Å³/atom
space-group type: Pmmm (47)
ΔE_f (raw): 1100 meV per atom

***

Density functional theory data (GGA-PBE) for a relaxed Mg2ZnPb crystal.

The structure in CIF format:
```
data_Mg2ZnPb
_chemical_formula_sum 'Mg8 Zn4 Pb4'
_cell_length_a 9.217
_cell_length_b 4.829
_cell_length_c 8.752
_cell_angle_alpha 90.00
_cell_angle_beta 112.41
_cell_angle_gamma 90.00
_symmetry_space_group_name_H-M 'P 1'
_symmetry_Int_Tables_number 1
loop_
_symmetry_equiv_pos_as_xyz
'x,y,z'
loop_
_atom_site_label
_atom_site_fract_x
_atom_site_fract_y
_atom_site_fract_z
Mg1 0.500 0.500 0.000
Mg2 0.500 0.000 0.500
Mg3 0.000 0.500 0.500
Mg4 0.803 0.000 0.268
Mg5 0.000 0.000 0.000
Mg6 0.803 0.500 0.768
Mg7 0.197 0.500 0.232
Mg8 0.197 0.000 0.732
Zn1 0.862 0.500 0.121
Zn2 0.138 0.500 0.879
Zn3 0.138 0.000 0.379
Zn4 0.862 0.000 0.621
Pb1 0.641 0.000 0.882
Pb2 0.359 0.500 0.618
Pb3 0.641 0.500 0.382
Pb4 0.359 0.000 0.118
```

Output
crystal system: monoclinic
calculated volume: 22.5 Å³/atom
space-group type: C2/m (12)
energy of formation: -0.026 eV/atom

***

Density functional theory data (GGA-PBE) for a relaxed NpAu2Cl8 crystal.

The structure in CIF format:
```
data_NpAu2Cl8
_chemical_formula_sum 'Np1 Au2 Cl8'
_cell_length_a 7.233
_cell_length_b 7.754
_cell_length_c 7.754
_cell_angle_alpha 60.93
_cell_angle_beta 91.25
_cell_angle_gamma 91.25
_symmetry_space_group_name_H-M 'P 1'
_symmetry_Int_Tables_number 1
loop_
_symmetry_equiv_pos_as_xyz
'x,y,z'
loop_
_atom_site_label
_atom_site_fract_x
_atom_site_fract_y
_atom_site_fract_z
Cl1 0.858 0.342 0.874
Cl2 0.393 0.633 0.633
Cl3 0.279 0.109 0.109
Cl4 0.607 0.367 0.367
Cl5 0.721 0.891 0.891
Cl6 0.142 0.126 0.658
Cl7 0.142 0.658 0.126
Cl8 0.858 0.874 0.342
Np1 0.000 0.000 0.000
Au1 0.750 0.218 0.218
Au2 0.250 0.782 0.782
```

Output
crystal system: monoclinic
calculated volume: 34.5 Å³/atom
space-group type: C2/m (12)
ΔE_f (raw): -795 meV per atom

***

Density functional theory data (GGA-PBE) for a relaxed CuAg2Cl crystal.

The structure in CIF format:
```
data_CuAg2Cl
_chemical_formula_sum 'Cu1 Ag2 Cl1'
_cell_length_a 5.655
_cell_length_b 5.655
_cell_length_c 5.655
_cell_angle_alpha 140.24
_cell_angle_beta 140.24
_cell_angle_gamma 57.48
_symmetry_space_group_name_H-M 'P 1'
_symmetry_Int_Tables_number 1
loop_
_symmetry_equiv_pos_as_xyz
'x,y,z'
loop_
_atom_site_label
_atom_site_fract_x
_atom_site_fract_y
_atom_site_fract_z
Cl1 0.500 0.500 0.000
Cu1 0.750 0.250 0.500
Ag1 0.250 0.750 0.500
Ag2 0.000 0.000 0.000
```

Output
crystal system: tetragonal
offset from the most stable computed form: 296 meV per atom
calculated volume: 18.3 Å³/atom
space-group type: I-4m2 (119)
ΔE_f (raw): 232 meV per atom

***

Density functional theory data (GGA-PBE) for a relaxed SrInSb2Te crystal.

The structure in CIF format:
```
data_SrInSb2Te
_chemical_formula_sum 'Sr1 In1 Sb2 Te1'
_cell_length_a 6.090
_cell_length_b 6.090
_cell_length_c 6.106
_cell_angle_alpha 90.00
_cell_angle_beta 90.00
_cell_angle_gamma 90.00
_symmetry_space_group_name_H-M 'P 1'
_symmetry_Int_Tables_number 1
loop_
_symmetry_equiv_pos_as_xyz
'x,y,z'
loop_
_atom_site_label
_atom_site_fract_x
_atom_site_fract_y
_atom_site_fract_z
Te1 0.000 0.000 0.500
Sb1 0.500 0.000 0.000
Sb2 0.000 0.500 0.000
Sr1 0.000 0.000 0.000
In1 0.500 0.500 0.500
```

Output
crystal system: tetragonal
offset from the most stable computed form: 420 meV per atom
calculated volume: 45.3 Å³/atom
space-group type: P4/mmm (123)
ΔE_f (raw): 424 meV per atom

***

Density functional theory data (GGA-PBE) for a relaxed BaVAsSe2 crystal.

The structure in CIF format:
```
data_BaVAsSe2
_chemical_formula_sum 'Ba1 V1 As1 Se2'
_cell_length_a 5.955
_cell_length_b 5.955
_cell_length_c 5.822
_cell_angle_alpha 90.00
_cell_angle_beta 90.00
_cell_angle_gamma 90.00
_symmetry_space_group_name_H-M 'P 1'
_symmetry_Int_Tables_number 1
loop_
_symmetry_equiv_pos_as_xyz
'x,y,z'
loop_
_atom_site_label
_atom_site_fract_x
_atom_site_fract_y
_atom_site_fract_z
Se1 0.500 0.000 0.000
Se2 0.000 0.500 0.000
As1 0.000 0.000 0.500
V1 0.500 0.500 0.500
Ba1 0.000 0.000 0.000
```

Output
crystal system: tetragonal
offset from the most stable computed form: 1824 meV per atom
calculated volume: 41.3 Å³/atom
space-group type: P4/mmm (123)
ΔE_f (raw): 991 meV per atom